## Ba2RhCl (PBEsol)

Data for a geometry-optimized Ba2RhCl structure.

Cell lengths 4.444, 4.444, 8.026 Å; angles 73.93, 73.93, 60.00 degrees
Sites, in units of the cell vectors:
Rh: 0.500 0.500 0.500
Ba: 0.240 0.240 0.279
Ba: 0.760 0.760 0.721
Cl: 0.000 0.000 0.000

Computed properties:
space group	No. 166
magnetization	0.000	μB per atom
uncorrected formation energy	-934	meV per atom